Record 1
{"formula": "Sm2MgCdHg4", "functional": "PBE", "state": "optimized geometry", "lattice": [[5.149, 0.000, 0.000], [2.575, 4.460, 0.000], [2.575, 1.487, 8.383]], "species": ["Hg", "Hg", "Sm", "Hg", "Cd", "Sm", "Hg", "Mg"], "frac_coords": [[0.128, 0.128, 0.617], [0.378, 0.378, 0.865], [0.252, 0.252, 0.243], [0.872, 0.872, 0.383], [0.000, 0.000, 0.000], [0.748, 0.748, 0.757], [0.622, 0.622, 0.135], [0.500, 0.500, 0.500]], "delta_e_f_ev_per_atom": -0.438, "total_energy_ev_per_atom": -2.083, "magmom_total_mub_per_fu": 0.00}

***

Record 2
{"formula": "MgCdSnHg2", "functional": "PBE", "state": "optimized geometry", "lattice": [[-3.791, 1.234, -1.441], [0.073, -3.123, -2.865], [-1.316, -3.390, 6.797]], "species": ["Cd", "Hg", "Hg", "Sn", "Mg"], "frac_coords": [[0.096, 0.096, 0.192], [0.254, 0.754, 0.508], [0.754, 0.254, 0.508], [0.498, 0.498, 0.995], [0.898, 0.898, 0.797]], "delta_e_f_ev_per_atom": 0.045, "total_energy_ev_per_atom": -1.378, "magmom_total_mub_per_fu": 0.00}

***

Record 3
{"formula": "MgCd2SnHg2", "functional": "PBE", "state": "optimized geometry", "lattice": [[6.335, 0.000, 0.000], [0.000, 5.967, 0.612], [0.000, -1.475, 7.581]], "species": ["Cd", "Sn", "Hg", "Hg", "Mg", "Cd", "Hg", "Mg", "Hg", "Cd", "Cd", "Sn"], "frac_coords": [[0.750, 0.479, 0.486], [0.250, 0.773, 0.192], [0.997, 0.775, 0.818], [0.497, 0.225, 0.182], [0.750, 0.642, 0.116], [0.250, 0.043, 0.557], [0.003, 0.225, 0.182], [0.250, 0.358, 0.884], [0.503, 0.775, 0.818], [0.750, 0.957, 0.443], [0.250, 0.521, 0.514], [0.750, 0.227, 0.808]], "delta_e_f_ev_per_atom": -0.006, "total_energy_ev_per_atom": -1.344, "magmom_total_mub_per_fu": 0.00}

***

Record 4
{"formula": "MgCd2SnHg5", "functional": "PBE", "state": "optimized geometry", "lattice": [[4.249, 0.000, 0.000], [-2.125, 8.449, 0.000], [0.000, 0.000, 12.544]], "species": ["Hg", "Mg", "Hg", "Cd", "Cd", "Sn", "Hg", "Hg", "Sn", "Hg", "Hg", "Mg", "Hg", "Hg", "Hg", "Hg", "Cd", "Cd"], "frac_coords": [[0.063, 0.127, 0.540], [0.518, 0.035, 0.929], [0.314, 0.627, 0.983], [0.133, 0.266, 0.308], [0.089, 0.178, 0.775], [0.134, 0.267, 0.053], [0.529, 0.059, 0.195], [0.696, 0.392, 0.870], [0.866, 0.733, 0.553], [0.937, 0.873, 0.040], [0.250, 0.501, 0.670], [0.482, 0.965, 0.429], [0.750, 0.499, 0.170], [0.304, 0.608, 0.370], [0.471, 0.941, 0.695], [0.686, 0.373, 0.483], [0.867, 0.734, 0.808], [0.911, 0.822, 0.275]], "delta_e_f_ev_per_atom": 0.000, "total_energy_ev_per_atom": -0.993, "magmom_total_mub_per_fu": 0.00}

***

Record 5
{"formula": "Mg2CdSnHg4", "functional": "PBE", "state": "optimized geometry", "lattice": [[6.018, 0.000, 0.000], [-0.006, 6.018, 0.000], [-3.006, -3.009, 5.779]], "species": ["Cd", "Hg", "Hg", "Hg", "Hg", "Sn", "Mg", "Mg"], "frac_coords": [[0.750, 0.250, 0.500], [0.495, 0.995, 0.990], [0.005, 0.505, 0.010], [0.244, 0.244, 0.487], [0.756, 0.756, 0.513], [0.500, 0.500, 0.000], [0.250, 0.750, 0.500], [0.000, 0.000, 0.000]], "delta_e_f_ev_per_atom": 0.000, "total_energy_ev_per_atom": -1.164, "magmom_total_mub_per_fu": 0.00}

***

Record 6
{"formula": "Mg2Cd8SnHg", "functional": "PBE", "state": "optimized geometry", "lattice": [[6.127, 0.000, 0.000], [-3.063, 5.306, 0.000], [0.000, 0.000, 8.954]], "species": ["Cd", "Mg", "Cd", "Cd", "Mg", "Cd", "Cd", "Cd", "Cd", "Hg", "Sn", "Cd"], "frac_coords": [[0.823, 0.177, 0.745], [0.333, 0.667, 0.933], [0.177, 0.355, 0.255], [0.823, 0.645, 0.745], [0.667, 0.333, 0.067], [0.177, 0.823, 0.255], [0.355, 0.177, 0.745], [0.645, 0.823, 0.255], [0.667, 0.333, 0.420], [0.000, 0.000, 0.500], [0.000, 0.000, 0.000], [0.333, 0.667, 0.580]], "delta_e_f_ev_per_atom": 0.067, "total_energy_ev_per_atom": -1.167, "magmom_total_mub_per_fu": 0.00}

***

Record 7
{"formula": "Mg2CdSnHg", "functional": "PBE", "state": "optimized geometry", "lattice": [[-5.077, -0.656, -0.970], [0.193, -4.846, 2.266], [-1.156, 2.114, 4.620]], "species": ["Hg", "Mg", "Sn", "Cd", "Mg"], "frac_coords": [[0.000, 0.000, 0.000], [0.500, 0.000, 0.000], [0.500, 0.500, 0.500], [0.000, 0.500, 0.000], [0.000, 0.000, 0.500]], "delta_e_f_ev_per_atom": 0.247, "total_energy_ev_per_atom": -1.435, "magmom_total_mub_per_fu": 0.00}

***

Record 8
{"formula": "MgCd2Sn2Hg4", "functional": "PBE", "state": "optimized geometry", "lattice": [[-2.043, 2.468, -1.523], [-2.385, -7.452, -4.743], [-5.004, -1.181, 4.798]], "species": ["Sn", "Hg", "Cd", "Hg", "Sn", "Hg", "Hg", "Mg", "Cd"], "frac_coords": [[0.658, 0.317, 0.983], [0.545, 0.089, 0.314], [0.107, 0.215, 0.635], [0.222, 0.444, 0.330], [0.342, 0.683, 0.017], [0.778, 0.556, 0.670], [0.455, 0.911, 0.686], [0.000, 0.000, 0.000], [0.893, 0.785, 0.365]], "delta_e_f_ev_per_atom": 0.003, "total_energy_ev_per_atom": -1.402, "magmom_total_mub_per_fu": 0.00}

***

Record 9
{"formula": "Mg2Cd2SnHg2", "functional": "PBE", "state": "optimized geometry", "lattice": [[3.494, 0.000, 0.000], [-1.747, 6.695, -2.280], [0.000, -3.058, 8.520]], "species": ["Sn", "Hg", "Cd", "Mg", "Cd", "Mg", "Hg"], "frac_coords": [[0.000, 0.000, 0.500], [0.632, 0.264, 0.870], [0.144, 0.288, 0.154], [0.636, 0.272, 0.419], [0.856, 0.712, 0.846], [0.364, 0.728, 0.581], [0.368, 0.736, 0.130]], "delta_e_f_ev_per_atom": 0.012, "total_energy_ev_per_atom": -1.363, "magmom_total_mub_per_fu": 0.00}

***

Record 10
{"formula": "Mg2CdSnHg8", "functional": "PBE", "state": "optimized geometry", "lattice": [[-3.804, 5.773, -0.320], [-1.842, -5.566, -3.678], [-4.298, -2.503, 5.941]], "species": ["Mg", "Hg", "Hg", "Mg", "Hg", "Hg", "Hg", "Hg", "Hg", "Sn", "Hg", "Cd"], "frac_coords": [[0.333, 0.667, 0.941], [0.368, 0.184, 0.755], [0.632, 0.816, 0.245], [0.667, 0.333, 0.059], [0.184, 0.816, 0.245], [0.184, 0.368, 0.245], [0.816, 0.632, 0.755], [0.816, 0.184, 0.755], [0.333, 0.667, 0.585], [0.000, 0.000, 0.500], [0.667, 0.333, 0.415], [0.000, 0.000, 0.000]], "delta_e_f_ev_per_atom": 0.034, "total_energy_ev_per_atom": -0.842, "magmom_total_mub_per_fu": 0.00}

***

Record 11
{"formula": "SrMg2CdHg2", "functional": "PBE", "state": "optimized geometry", "lattice": [[4.878, 0.000, 0.000], [-2.439, 4.225, 0.000], [0.000, 0.000, 7.517]], "species": ["Mg", "Mg", "Cd", "Sr", "Hg", "Hg"], "frac_coords": [[0.333, 0.667, 0.654], [0.667, 0.333, 0.346], [0.000, 0.000, 0.500], [0.000, 0.000, 0.000], [0.333, 0.667, 0.246], [0.667, 0.333, 0.754]], "delta_e_f_ev_per_atom": -0.318, "total_energy_ev_per_atom": -1.383, "magmom_total_mub_per_fu": 0.00}

***

Record 12
{"formula": "SrMg3CdHg", "functional": "PBE", "state": "optimized geometry", "lattice": [[-2.650, 0.825, -5.734], [-1.028, -7.111, -0.548], [-6.012, 4.258, 3.392]], "species": ["Mg", "Sr", "Mg", "Sr", "Cd", "Cd", "Mg", "Mg", "Hg", "Mg", "Mg", "Hg"], "frac_coords": [[0.500, 0.298, 0.000], [0.250, 0.710, 0.420], [0.250, 0.137, 0.275], [0.750, 0.290, 0.580], [0.250, 0.928, 0.857], [0.750, 0.072, 0.143], [0.000, 0.702, 0.000], [0.750, 0.863, 0.725], [0.750, 0.653, 0.306], [0.000, 0.298, 0.000], [0.500, 0.702, 0.000], [0.250, 0.347, 0.694]], "delta_e_f_ev_per_atom": -0.125, "total_energy_ev_per_atom": -1.405, "magmom_total_mub_per_fu": 0.00}

***

Record 13
{"formula": "SrMg4Cd2Hg", "functional": "PBE", "state": "optimized geometry", "lattice": [[4.926, 0.000, 0.000], [2.463, 4.266, 0.000], [2.463, 1.422, 9.706]], "species": ["Mg", "Sr", "Mg", "Mg", "Cd", "Mg", "Hg", "Cd"], "frac_coords": [[0.869, 0.869, 0.393], [0.000, 0.000, 0.000], [0.597, 0.597, 0.210], [0.131, 0.131, 0.607], [0.743, 0.743, 0.771], [0.403, 0.403, 0.790], [0.500, 0.500, 0.500], [0.257, 0.257, 0.229]], "delta_e_f_ev_per_atom": -0.160, "total_energy_ev_per_atom": -1.434, "magmom_total_mub_per_fu": 0.00}

***

Record 14
{"formula": "SrMg2CdHg4", "functional": "PBE", "state": "optimized geometry", "lattice": [[4.852, 0.000, 0.000], [2.426, 4.202, 0.000], [2.426, 1.401, 9.990]], "species": ["Mg", "Sr", "Hg", "Hg", "Mg", "Hg", "Hg", "Cd"], "frac_coords": [[0.765, 0.765, 0.704], [0.000, 0.000, 0.000], [0.393, 0.393, 0.822], [0.123, 0.123, 0.632], [0.235, 0.235, 0.296], [0.607, 0.607, 0.178], [0.877, 0.877, 0.368], [0.500, 0.500, 0.500]], "delta_e_f_ev_per_atom": -0.267, "total_energy_ev_per_atom": -1.142, "magmom_total_mub_per_fu": 0.00}

***

Record 15
{"formula": "Sr3MgCd2Hg6", "functional": "PBE", "state": "optimized geometry", "lattice": [[6.626, 0.000, 0.000], [-3.313, 5.738, 0.000], [0.000, 0.000, 9.256]], "species": ["Mg", "Hg", "Sr", "Hg", "Hg", "Sr", "Hg", "Cd", "Cd", "Hg", "Sr", "Hg"], "frac_coords": [[0.000, 0.000, 0.500], [0.178, 0.356, 0.281], [0.000, 0.000, 0.000], [0.178, 0.822, 0.281], [0.356, 0.178, 0.719], [0.333, 0.667, 0.617], [0.644, 0.822, 0.281], [0.667, 0.333, 0.007], [0.333, 0.667, 0.993], [0.822, 0.178, 0.719], [0.667, 0.333, 0.383], [0.822, 0.644, 0.719]], "delta_e_f_ev_per_atom": -0.293, "total_energy_ev_per_atom": -1.150, "magmom_total_mub_per_fu": 0.00}

***

Record 16
{"formula": "SrMgCdHg2", "functional": "PBE", "state": "optimized geometry", "lattice": [[4.526, 0.000, 0.000], [0.000, 4.526, 0.000], [-2.263, -2.263, 6.640]], "species": ["Hg", "Mg", "Sr", "Cd", "Hg"], "frac_coords": [[0.391, 0.391, 0.781], [0.750, 0.250, 0.500], [0.000, 0.000, 0.000], [0.250, 0.750, 0.500], [0.609, 0.609, 0.219]], "delta_e_f_ev_per_atom": -0.347, "total_energy_ev_per_atom": -1.306, "magmom_total_mub_per_fu": 0.00}

***

Record 17
{"formula": "Sr2MgCdHg6", "functional": "PBE", "state": "optimized geometry", "lattice": [[7.588, -0.795, 1.574], [-0.764, 7.836, -1.352], [4.569, 2.537, 5.391]], "species": ["Hg", "Hg", "Hg", "Mg", "Hg", "Cd", "Hg", "Sr", "Sr", "Hg"], "frac_coords": [[0.231, 0.732, 0.049], [0.719, 0.576, 0.184], [0.158, 0.155, 0.500], [0.500, 0.500, 0.000], [0.281, 0.424, 0.816], [0.000, 0.000, 0.000], [0.769, 0.268, 0.951], [0.280, 0.770, 0.469], [0.720, 0.230, 0.531], [0.842, 0.845, 0.500]], "delta_e_f_ev_per_atom": -0.272, "total_energy_ev_per_atom": -1.040, "magmom_total_mub_per_fu": 0.00}

***

Record 18
{"formula": "Sr2Mg4CdHg3", "functional": "PBE", "state": "optimized geometry", "lattice": [[-2.838, 2.980, 2.162], [-3.141, -3.384, 0.541], [5.193, -3.057, 11.031]], "species": ["Cd", "Mg", "Hg", "Mg", "Mg", "Sr", "Mg", "Hg", "Sr", "Hg"], "frac_coords": [[0.500, 0.500, 0.500], [0.500, 0.500, 0.000], [0.500, 0.000, 0.859], [0.000, 0.500, 0.364], [0.500, 0.000, 0.636], [0.000, 0.500, 0.751], [0.000, 0.000, 0.000], [0.000, 0.000, 0.500], [0.500, 0.000, 0.249], [0.000, 0.500, 0.141]], "delta_e_f_ev_per_atom": -0.304, "total_energy_ev_per_atom": -1.461, "magmom_total_mub_per_fu": 0.00}

***

Record 19
{"formula": "ThMg2CdHg2", "functional": "PBE", "state": "optimized geometry", "lattice": [[4.892, 0.000, 0.000], [-2.446, 4.237, 0.000], [0.000, 0.000, 6.909]], "species": ["Th", "Mg", "Cd", "Hg", "Hg", "Mg"], "frac_coords": [[0.000, 0.000, 0.000], [0.667, 0.333, 0.320], [0.000, 0.000, 0.500], [0.333, 0.667, 0.224], [0.667, 0.333, 0.776], [0.333, 0.667, 0.680]], "delta_e_f_ev_per_atom": -0.244, "total_energy_ev_per_atom": -2.266, "magmom_total_mub_per_fu": 0.00}

***

Record 20
{"formula": "ThMgCdHg", "functional": "PBE", "state": "optimized geometry", "lattice": [[-4.732, -0.253, 2.188], [-4.253, -0.310, -3.010], [-2.735, -4.441, -0.203]], "species": ["Cd", "Hg", "Th", "Mg"], "frac_coords": [[0.000, 0.000, 0.000], [0.500, 0.500, 0.500], [0.250, 0.250, 0.250], [0.750, 0.750, 0.750]], "delta_e_f_ev_per_atom": -0.211, "total_energy_ev_per_atom": -2.769, "magmom_total_mub_per_fu": 0.00}

***

no.,N(E_F) (states/eV/cell)
1,3.25
2,2.09
3,3.51
4,3.74
5,3.56
6,5.02
7,3.27
8,3.36
9,2.16
10,4.11
11,2.48
12,7.48
13,3.01
14,3.60
15,6.72
16,2.92
17,4.62
18,4.60
19,2.46
20,1.71